The following is a DFT calculation (PBE) of a geometry-optimized CdCuRu structure.

Calculated volume: 15.69 Å³ per atom
D(E_F): 3.7 states/eV/cell
Formation enthalpy at 0 K: 0.15 eV per atom

Cell: 2.8511 2.8511 11.5826 Å, 90.00 90.00 90.00°
Last column: nearest neighbours and their distance in Å.
Positions (direct):
Ru  0.0000  0.5000  0.5702  8 Ru 2.59-2.85, 4 Cu 2.68
Ru  0.5000  0.0000  0.4298  8 Ru 2.59-2.85, 4 Cu 2.68
Cu  0.0000  0.5000  0.2770  4 Ru 2.68, 4 Cd 2.79, 4 Cu 2.85
Cu  0.5000  0.0000  0.7230  4 Ru 2.68, 4 Cd 2.79, 4 Cu 2.85
Cd  0.5000  0.0000  0.1104  4 Cu 2.79, 4 Cd 2.85
Cd  0.0000  0.5000  0.8896  4 Cu 2.79, 4 Cd 2.85